DFT (PBE-GGA) results for crystalline Tb2CuAu at its relaxed geometry.

Output
Calculated formation energy (meV per atom): -544
E (eV per atom): -4.70
Theoretical density (g/cm³): 10.7
Volume (A^3/atom): 22.43
Crystal system: tetragonal

a b c (Å): 3.5639 3.5639 7.0640
angles (deg): 90.00 90.00 90.00
Element x y z (fractional)
Tb 0.0000 0.0000 0.7582
Tb 0.0000 0.0000 0.2418
Cu 0.5000 0.5000 0.0000
Au 0.5000 0.5000 0.5000